[1]
DFT (PBE) results for CsTlSe4 after structural relaxation.

Cell lengths 5.3574, 8.6129, 7.3548 Å; angles 134.88, 111.29, 90.07 degrees
Atoms (fractional coordinates):
Cs 0.9101 0.0232 0.9859
Tl 0.7070 0.2421 0.5796
Se 0.0584 0.6512 0.2853
Se 0.3341 0.6397 0.8341
Se 0.2570 0.0969 0.6799
Se 0.4835 0.5969 0.1352

Properties
* ΔE_f (raw): -246 kJ/mol of formula units
* total energy: -3.2847 eV per atom
* total moment: 0.00 μB/cell



[2]
DFT (PBE) results for CsTlSe after structural relaxation.

Cell lengths 5.7243, 5.7243, 5.7243 Å; angles 60.00, 60.00, 60.00 degrees
Atoms (fractional coordinates):
Cs 0.0000 0.0000 0.0000
Tl 0.5000 0.5000 0.5000
Se 0.2500 0.2500 0.2500

Properties
* ΔE_f (raw): -189 kJ/mol of formula units
* polymorph energy (0 for the lowest one): 37 kJ/mol of formula units
* total energy: -2.8889 eV per atom
* total moment: 0.00 μB/cell



[3]
DFT (PBE) results for CsTlSe after structural relaxation.

Cell lengths 6.5173, 4.7494, 4.7494 Å; angles 120.00, 90.00, 90.00 degrees
Atoms (fractional coordinates):
Cs 0.7076 0.6667 0.3333
Tl 0.2504 0.3333 0.6667
Se 0.0420 0.0000 0.0000

Properties
* ΔE_f (raw): -216 kJ/mol of formula units
* polymorph energy (0 for the lowest one): 10 kJ/mol of formula units
* total energy: -2.9809 eV per atom
* total moment: 0.00 μB/cell



[4]
DFT (PBE) results for CsTlSe2 after structural relaxation.

Cell lengths 8.7949, 4.4601, 16.4266 Å; angles 90.00, 90.00, 90.00 degrees
Atoms (fractional coordinates):
Cs 0.4095 0.2500 0.3548
Cs 0.0905 0.7500 0.8548
Cs 0.5905 0.7500 0.6452
Cs 0.9095 0.2500 0.1452
Tl 0.0270 0.2500 0.5989
Tl 0.4730 0.7500 0.0989
Tl 0.9730 0.7500 0.4011
Tl 0.5270 0.2500 0.9011
Se 0.8165 0.2500 0.4619
Se 0.6835 0.7500 0.9619
Se 0.1835 0.7500 0.5381
Se 0.3165 0.2500 0.0381
Se 0.3727 0.2500 0.7704
Se 0.1273 0.7500 0.2704
Se 0.6273 0.7500 0.2296
Se 0.8727 0.2500 0.7296

Properties
* ΔE_f (raw): -235 kJ/mol of formula units
* total energy: -3.1561 eV per atom
* total moment: 0.00 μB/cell



[5]
DFT (PBE) results for CsTlSe2 after structural relaxation.

Cell lengths 5.7296, 10.0664, 6.2194 Å; angles 115.01, 91.22, 95.16 degrees
Atoms (fractional coordinates):
Cs 0.4055 0.6674 0.3469
Cs 0.4661 0.0726 0.1424
Tl 0.9279 0.2244 0.7397
Tl 0.8742 0.5881 0.7921
Se 0.3504 0.4089 0.6636
Se 0.9386 0.8699 0.7326
Se 0.9567 0.9122 0.3769
Se 0.0488 0.3521 0.3464

Properties
* ΔE_f (raw): -245 kJ/mol of formula units
* total energy: -3.1808 eV per atom
* total moment: 0.00 μB/cell



[6]
DFT (PBE) results for CsTlSe2 after structural relaxation.

Cell lengths 7.8515, 4.3375, 20.1203 Å; angles 90.00, 90.00, 90.00 degrees
Atoms (fractional coordinates):
Cs 0.1818 0.2500 0.6043
Cs 0.3182 0.7500 0.1043
Cs 0.8182 0.7500 0.3957
Cs 0.6818 0.2500 0.8957
Tl 0.3653 0.2500 0.2986
Tl 0.1347 0.7500 0.7986
Tl 0.6347 0.7500 0.7014
Tl 0.8653 0.2500 0.2014
Se 0.5669 0.2500 0.5161
Se 0.9331 0.7500 0.0161
Se 0.4331 0.7500 0.4839
Se 0.0669 0.2500 0.9839
Se 0.3888 0.2500 0.7599
Se 0.1112 0.7500 0.2599
Se 0.6112 0.7500 0.2401
Se 0.8888 0.2500 0.7401

Properties
* ΔE_f (raw): -195 kJ/mol of formula units
* total energy: -3.0530 eV per atom
* total moment: 0.00 μB/cell



[7]
DFT (PBE) results for CsTlSe2 after structural relaxation.

Cell lengths 7.3856, 11.9587, 7.3373 Å; angles 90.00, 90.00, 90.00 degrees
Atoms (fractional coordinates):
Cs 0.9992 0.3767 0.0531
Cs 0.0008 0.6233 0.5531
Cs 0.5008 0.8767 0.5531
Cs 0.4992 0.1233 0.0531
Tl 0.0412 0.8743 0.9962
Tl 0.9588 0.1257 0.4962
Tl 0.4588 0.3743 0.4962
Tl 0.5412 0.6257 0.9962
Se 0.3980 0.8270 0.0690
Se 0.6020 0.1730 0.5690
Se 0.1020 0.3270 0.5690
Se 0.8980 0.6730 0.0690
Se 0.0071 0.9185 0.6315
Se 0.9929 0.0815 0.1315
Se 0.4929 0.4185 0.1315
Se 0.5071 0.5815 0.6315

Properties
* ΔE_f (raw): -252 kJ/mol of formula units
* total energy: -3.1993 eV per atom
* total moment: 0.00 μB/cell



[8]
DFT (PBE) results for Cs3TlSe after structural relaxation.

Cell lengths 6.9958, 6.9958, 6.9958 Å; angles 90.00, 90.00, 90.00 degrees
Each line ends with the local moment (μB).
Atoms (fractional coordinates):
Cs 0.0000 0.5000 0.0000  0.02
Cs 0.0000 0.0000 0.5000  0.02
Cs 0.5000 0.0000 0.0000  0.01
Tl 0.5000 0.5000 0.5000  0.27
Se 0.0000 0.0000 0.0000  0.04

Properties
* ΔE_f (raw): -202 kJ/mol of formula units
* polymorph energy (0 for the lowest one): 0 kJ/mol of formula units
* total energy: -2.1014 eV per atom
* total moment: 1.86 μB/cell



[9]
DFT (PBE) results for CsTlSe2 after structural relaxation.

Cell lengths 7.6549, 9.9499, 7.9348 Å; angles 90.00, 90.00, 90.00 degrees
Atoms (fractional coordinates):
Cs 0.8489 0.7902 0.9823
Cs 0.1511 0.2098 0.4823
Cs 0.6511 0.2902 0.4823
Cs 0.3489 0.7098 0.9823
Tl 0.2516 0.3477 0.9958
Tl 0.7484 0.6523 0.4958
Tl 0.2484 0.8477 0.4958
Tl 0.7516 0.1523 0.9958
Se 0.4535 0.0146 0.2145
Se 0.5465 0.9854 0.7145
Se 0.0465 0.5146 0.7145
Se 0.9535 0.4854 0.2145
Se 0.8159 0.9489 0.5573
Se 0.1841 0.0511 0.0573
Se 0.6841 0.4489 0.0573
Se 0.3159 0.5511 0.5573

Properties
* ΔE_f (raw): -224 kJ/mol of formula units
* total energy: -3.1276 eV per atom
* total moment: 0.00 μB/cell



[10]
DFT (PBE) results for Cs2Tl2Se after structural relaxation.

Cell lengths 8.2879, 8.2879, 6.2187 Å; angles 90.00, 90.00, 90.00 degrees
Atoms (fractional coordinates):
Cs 0.1923 0.6923 0.5000
Cs 0.6923 0.8077 0.5000
Cs 0.8077 0.3077 0.5000
Cs 0.3077 0.1923 0.5000
Tl 0.3693 0.8693 0.0000
Tl 0.8693 0.6307 0.0000
Tl 0.6307 0.1307 0.0000
Tl 0.1307 0.3693 0.0000
Se 0.0000 0.0000 0.0000
Se 0.5000 0.5000 0.0000

Properties
* ΔE_f (raw): -147 kJ/mol of formula units
* total energy: -2.2901 eV per atom
* total moment: 0.00 μB/cell



[11]
DFT (PBE) results for Cs3Tl4Se4 after structural relaxation.

Cell lengths 4.6831, 7.8106, 12.3690 Å; angles 90.00, 90.00, 107.44 degrees
Atoms (fractional coordinates):
Cs 0.3712 0.7425 0.3255
Cs 0.3712 0.7425 0.6745
Cs 0.2915 0.5830 0.0000
Tl 0.6464 0.2927 0.5000
Tl 0.5948 0.1896 0.0000
Tl 0.0705 0.1409 0.7527
Tl 0.0705 0.1409 0.2473
Se 0.6980 0.3960 0.7685
Se 0.6980 0.3960 0.2315
Se 0.0112 0.0223 0.5000
Se 0.9752 0.9505 0.0000

Properties
* ΔE_f (raw): -694 kJ/mol of formula units
* polymorph energy (0 for the lowest one): 27 kJ/mol of formula units
* total energy: -3.0143 eV per atom
* total moment: 0.00 μB/cell



[12]
DFT (PBE) results for CsTlSe2 after structural relaxation.

Cell lengths 11.3552, 11.3552, 7.1466 Å; angles 90.00, 90.00, 158.74 degrees
Atoms (fractional coordinates):
Cs 0.0674 0.9326 0.2500
Cs 0.9326 0.0674 0.7500
Tl 0.3217 0.6783 0.2500
Tl 0.6783 0.3217 0.7500
Se 0.2093 0.7907 0.2500
Se 0.7907 0.2093 0.7500
Se 0.9022 0.0978 0.2500
Se 0.0978 0.9022 0.7500

Properties
* ΔE_f (raw): -135 kJ/mol of formula units
* total energy: -2.8972 eV per atom
* total moment: 0.00 μB/cell